Pm2GaNi4Sb3 | PBE | optimized geometry

## Properties
**Symmetry**: P-4m2 (115)
**VASP energy**: -54.7 eV/cell
**Raw formation energy**: -6.70 eV per formula unit
**Mass density**: 8.39 g/cm³

a b c (Å): 4.324 4.324 10.165
angles (deg): 90.00 90.00 90.00
Sites, in units of the cell vectors:
Pm: 0.000 0.500 0.249
Pm: 0.500 0.000 0.751
Ga: 0.000 0.000 0.500
Ni: 0.000 0.000 0.000
Ni: 0.000 0.500 0.622
Ni: 0.500 0.000 0.378
Ni: 0.500 0.500 0.000
Sb: 0.000 0.500 0.868
Sb: 0.500 0.000 0.132
Sb: 0.500 0.500 0.500